# La3Pm6Y

A geometry-optimized La3Pm6Y structure (PBE, Alexandria).

The calculation puts the raw total energy at -0.173 Ha/atom. As for the energy relative to the elements: 281 meV/atom.

a = 8.8379 Å, b = 9.0956 Å, c = 10.3487 Å
α = 142.00°, β = 115.28°, γ = 90.00°
Fractional coordinates of all 10 atoms:
La 0.7187 0.2066 0.4375
La 0.2813 0.7934 0.5625
La 0.0000 0.0000 0.0000
Pm 0.4404 0.3985 0.2439
Pm 0.1965 0.6015 0.7561
Pm 0.5596 0.6015 0.7561
Pm 0.8035 0.3985 0.2439
Pm 0.1215 0.8590 0.2430
Pm 0.8785 0.1410 0.7570
Y 0.5000 0.5000 0.0000